[1]
Crystalline CuAuI4 at its relaxed geometry. Source: Alexandria, functional PBE.

Cell lengths 7.3415, 7.3415, 17.7521 Å; angles 90.00, 90.00, 120.00 degrees
Last column: nearest neighbours and their distance in Å.
Positions (direct):
Cu: 0.0000 0.4612 0.1667  4 I 2.59-2.61
Cu: 0.4612 0.0000 0.8333  4 I 2.59-2.61
Cu: 0.5388 0.5388 0.5000  4 I 2.59-2.61
Au: 0.0000 0.5009 0.6667  4 I 2.73
Au: 0.4991 0.4991 0.0000  4 I 2.73
Au: 0.5009 0.0000 0.3333  4 I 2.73
I: 0.0786 0.7675 0.7853  1 Cu 2.59, 1 Au 2.73
I: 0.1395 0.7968 0.2505  1 Cu 2.61, 1 Au 2.73
I: 0.2032 0.3428 0.5838  1 Cu 2.61, 1 Au 2.73
I: 0.2325 0.3111 0.1187  1 Cu 2.59, 1 Au 2.73
I: 0.3111 0.2325 0.8813  1 Cu 2.59, 1 Au 2.73
I: 0.3428 0.2032 0.4162  1 Cu 2.61, 1 Au 2.73
I: 0.6572 0.8605 0.9171  1 Cu 2.61, 1 Au 2.73
I: 0.6889 0.9214 0.4520  1 Cu 2.59, 1 Au 2.73
I: 0.7675 0.0786 0.2147  1 Cu 2.59, 1 Au 2.73
I: 0.7968 0.1395 0.7495  1 Cu 2.61, 1 Au 2.73
I: 0.8605 0.6572 0.0829  1 Cu 2.61, 1 Au 2.73
I: 0.9214 0.6889 0.5480  1 Cu 2.59, 1 Au 2.73

Values from the calculation:
**V**: 276.2 Å³/f.u.
**Energy relative to the elements, uncorrected**: -3 meV/atom
**Size of the total moment**: 0.000 μB per atom
**Space group**: No. 152

=====

[2]
Crystalline Cu2AuI2 at its relaxed geometry. Source: Alexandria, functional PBE.

Cell lengths 7.3579, 7.3579, 3.9846 Å; angles 90.00, 90.00, 90.00 degrees
Last column: nearest neighbours and their distance in Å.
Positions (direct):
Cu: 0.1317 0.3683 0.0000  1 Cu 2.74, 6 I 2.81-3.05, 2 Au 2.88
Cu: 0.3683 0.8683 0.0000  1 Cu 2.74, 6 I 2.81-3.05, 2 Au 2.88
Cu: 0.6317 0.1317 0.0000  1 Cu 2.74, 6 I 2.81-3.05, 2 Au 2.88
Cu: 0.8683 0.6317 0.0000  1 Cu 2.74, 6 I 2.81-3.05, 2 Au 2.88
Au: 0.0000 0.0000 0.0000  4 Cu 2.88
Au: 0.5000 0.5000 0.0000  4 Cu 2.88
I: 0.1782 0.6782 0.5000  6 Cu 2.81-3.05
I: 0.3218 0.1782 0.5000  6 Cu 2.81-3.05
I: 0.6782 0.8218 0.5000  6 Cu 2.81-3.05
I: 0.8218 0.3218 0.5000  6 Cu 2.81-3.05

Values from the calculation:
**V**: 107.9 Å³/f.u.
**Energy relative to the elements, uncorrected**: 372 meV/atom
**Size of the total moment**: 0.000 μB per atom
**Space group**: No. 127
**ΔE to the lowest computed polymorph**: 0 meV/atom

=====

[3]
Crystalline CuAuI2 at its relaxed geometry. Source: Alexandria, functional PBE.

Cell lengths 4.7032, 4.2090, 6.8513 Å; angles 90.00, 91.20, 90.00 degrees
Last column: nearest neighbours and their distance in Å.
Positions (direct):
Cu: 0.0000 0.0000 0.0000  3 I 2.60-2.63, 2 Au 2.75
Au: 0.6606 0.5000 0.1052  3 I 2.72-2.80, 2 Cu 2.75
I: 0.3724 0.0000 0.2858  1 Cu 2.60, 2 Au 2.80
I: 0.9647 0.5000 0.7711  2 Cu 2.63, 1 Au 2.72

Values from the calculation:
**V**: 135.6 Å³/f.u.
**Energy relative to the elements, uncorrected**: -55 meV/atom
**Size of the total moment**: 0.000 μB per atom
**Space group**: No. 6
**ΔE to the lowest computed polymorph**: 0 meV/atom